1.
## LiLa2YNi (PBE-GGA)

Data for a geometry-optimized LiLa2YNi structure.

Its space-group type is P4/mmm, No. 123. Its volume is 32.61 A^3/atom.

Cell lengths 5.424, 5.424, 5.541 Å; angles 90.00, 90.00, 90.00 degrees
Sites, in units of the cell vectors:
Y 0.000 0.000 0.500
Ni 0.000 0.000 0.000
Li 0.500 0.500 0.500
La 0.000 0.500 0.000
La 0.500 0.000 0.000

=====

2.
## LiLa2Zn3Ni12 (PBE-GGA)

Data for a geometry-optimized LiLa2Zn3Ni12 structure.

Its space-group type is R-3m, No. 166. Its volume is 14.02 A^3/atom.

Cell lengths 6.360, 6.360, 6.360 Å; angles 83.32, 83.32, 83.32 degrees
Sites, in units of the cell vectors:
Li 0.000 0.000 0.000
La 0.671 0.671 0.671
La 0.329 0.329 0.329
Zn 0.500 0.000 0.000
Zn 0.000 0.500 0.000
Zn 0.000 0.000 0.500
Ni 0.401 0.401 0.875
Ni 0.808 0.808 0.272
Ni 0.272 0.808 0.808
Ni 0.875 0.401 0.401
Ni 0.808 0.272 0.808
Ni 0.401 0.875 0.401
Ni 0.599 0.599 0.125
Ni 0.192 0.192 0.728
Ni 0.728 0.192 0.192
Ni 0.125 0.599 0.599
Ni 0.192 0.728 0.192
Ni 0.599 0.125 0.599

=====

3.
## Li2LaZnNi (PBE-GGA)

Data for a geometry-optimized Li2LaZnNi structure.

Its space-group type is P4/mmm, No. 123. Its volume is 20.10 A^3/atom.

Cell lengths 4.621, 4.621, 4.706 Å; angles 90.00, 90.00, 90.00 degrees
Sites, in units of the cell vectors:
Ni 0.000 0.000 0.000
Zn 0.000 0.000 0.500
Li 0.000 0.500 0.000
Li 0.500 0.000 0.000
La 0.500 0.500 0.500

=====

4.
## LiLa2ZnNi (PBE-GGA)

Data for a geometry-optimized LiLa2ZnNi structure.

Its space-group type is P4/mmm, No. 123. For the energy above the most stable polymorph in this dataset, the calculation gives 47.4 meV/atom. Its volume is 26.62 A^3/atom.

Cell lengths 5.365, 5.365, 4.624 Å; angles 90.00, 90.00, 90.00 degrees
Sites, in units of the cell vectors:
Ni 0.000 0.000 0.000
Zn 0.500 0.500 0.500
Li 0.000 0.000 0.500
La 0.000 0.500 0.000
La 0.500 0.000 0.000

=====

Computed E (eV/atom) in order:
-4.7930, -4.7611, -3.1279, -3.8206